The following is a DFT calculation (PBE) of an optimized crystal structure of SrMnRu.

Its formation energy is 4.95 eV/f.u. The relative energy among the computed polymorphs is 1.249 eV/atom. Its symmetry is F-43m.

Geometry as POSCAR:
```
SrMnRu
1.0
0.0000 3.3395 3.3395
3.3395 0.0000 3.3395
3.3395 3.3395 0.0000
Sr Mn Ru
1 1 1
Direct
0.0000 0.0000 0.0000
0.7500 0.7500 0.7500
0.2500 0.2500 0.2500
```


The following is a DFT calculation (PBE) of an optimized crystal structure of PrSn4Pd12.

Its formation energy is -2.55 eV/f.u. Its symmetry is Im-3.

Geometry as POSCAR:
```
PrSn4Pd12
1.0
-4.4640 4.4640 4.4640
4.4640 -4.4640 4.4640
4.4640 4.4640 -4.4640
Pr Sn Pd
1 4 12
Direct
0.0000 0.0000 0.0000
0.0000 0.0000 0.5000
0.0000 0.5000 0.0000
0.5000 0.0000 0.0000
0.5000 0.5000 0.5000
0.1502 0.3517 0.5019
0.1502 0.6483 0.7984
0.2016 0.8498 0.3517
0.3517 0.2016 0.8498
0.3517 0.5019 0.1502
0.4981 0.8498 0.6483
0.5019 0.1502 0.3517
0.6483 0.4981 0.8498
0.6483 0.7984 0.1502
0.7984 0.1502 0.6483
0.8498 0.3517 0.2016
0.8498 0.6483 0.4981
```


The following is a DFT calculation (PBE) of an optimized crystal structure of Ba3Ga2Pd4Pb2.

Its formation energy is -5.14 eV/f.u. Its symmetry is P-3m1.

Geometry as POSCAR:
```
Ba3Ga2Pd4Pb2
1.0
4.6070 0.0000 0.0000
-2.3035 3.9898 0.0000
0.0000 0.0000 17.0418
Ba Ga Pd Pb
3 2 4 2
Direct
0.0000 0.0000 0.0000
0.0000 0.0000 0.2694
0.0000 0.0000 0.7306
0.3333 0.6667 0.1364
0.6667 0.3333 0.8636
0.3333 0.6667 0.3945
0.3333 0.6667 0.8649
0.6667 0.3333 0.1351
0.6667 0.3333 0.6055
0.3333 0.6667 0.5634
0.6667 0.3333 0.4366
```


The following is a DFT calculation (PBE) of an optimized crystal structure of Ti3HRh.

The relative energy among the computed polymorphs is 1.296 eV/atom. Its symmetry is Pm-3m.

Geometry as POSCAR:
```
Ti3HRh
1.0
4.7512 0.0000 0.0000
0.0000 4.7512 0.0000
0.0000 0.0000 4.7512
Ti H Rh
3 1 1
Direct
0.0000 0.0000 0.5000
0.0000 0.5000 0.0000
0.5000 0.0000 0.0000
0.5000 0.5000 0.5000
0.0000 0.0000 0.0000
```


The following is a DFT calculation (PBE) of an optimized crystal structure of Ce3Co5N12.

Its uncorrected formation energy is -0.079 eV per atom. Its symmetry is Ia-3d.

Geometry as POSCAR:
```
Ce3Co5N12
1.0
-6.0916 6.0916 6.0916
6.0916 -6.0916 6.0916
6.0916 6.0916 -6.0916
Ce Co N
12 20 48
Direct
0.1250 0.2500 0.3750
0.1250 0.3750 0.7500
0.2500 0.3750 0.1250
0.2500 0.8750 0.6250
0.3750 0.1250 0.2500
0.3750 0.7500 0.1250
0.6250 0.2500 0.8750
0.6250 0.8750 0.7500
0.7500 0.1250 0.3750
0.7500 0.6250 0.8750
0.8750 0.6250 0.2500
0.8750 0.7500 0.6250
0.0000 0.0000 0.0000
0.0000 0.0000 0.5000
0.0000 0.5000 0.0000
0.0000 0.5000 0.5000
0.1250 0.7500 0.8750
0.1250 0.8750 0.2500
0.2500 0.1250 0.8750
0.2500 0.6250 0.3750
0.3750 0.2500 0.6250
0.3750 0.6250 0.7500
0.5000 0.0000 0.0000
0.5000 0.0000 0.5000
0.5000 0.5000 0.0000
0.5000 0.5000 0.5000
0.6250 0.3750 0.2500
0.6250 0.7500 0.3750
0.7500 0.3750 0.6250
0.7500 0.8750 0.1250
0.8750 0.1250 0.7500
0.8750 0.2500 0.1250
0.0157 0.1989 0.1165
0.0157 0.3168 0.8992
0.0824 0.6989 0.6832
0.0824 0.8835 0.3992
0.1008 0.6165 0.4176
0.1008 0.9843 0.6832
0.1165 0.0157 0.1989
0.1165 0.6008 0.9176
0.1832 0.1989 0.5824
0.1832 0.4843 0.6008
0.1989 0.1165 0.0157
0.1989 0.5824 0.1832
0.3011 0.3168 0.9176
0.3011 0.4843 0.3835
0.3168 0.8992 0.0157
0.3168 0.9176 0.3011
0.3835 0.3011 0.4843
0.3835 0.5824 0.8992
0.3992 0.0824 0.8835
0.3992 0.8168 0.5157
0.4176 0.1008 0.6165
0.4176 0.8168 0.8011
0.4843 0.3835 0.3011
0.4843 0.6008 0.1832
0.5157 0.3992 0.8168
0.5157 0.6165 0.6989
0.5824 0.1832 0.1989
0.5824 0.8992 0.3835
0.6008 0.1832 0.4843
0.6008 0.9176 0.1165
0.6165 0.4176 0.1008
0.6165 0.6989 0.5157
0.6832 0.0824 0.6989
0.6832 0.1008 0.9843
0.6989 0.5157 0.6165
0.6989 0.6832 0.0824
0.8011 0.4176 0.8168
0.8011 0.8835 0.9843
0.8168 0.5157 0.3992
0.8168 0.8011 0.4176
0.8835 0.3992 0.0824
0.8835 0.9843 0.8011
0.8992 0.0157 0.3168
0.8992 0.3835 0.5824
0.9176 0.1165 0.6008
0.9176 0.3011 0.3168
0.9843 0.6832 0.1008
0.9843 0.8011 0.8835
```


The following is a DFT calculation (PBE) of an optimized crystal structure of K5Hg2Se4.

The relative energy among the computed polymorphs is 0.100 eV/atom. Its uncorrected formation energy is -0.695 eV per atom. Its symmetry is C2/m.

Geometry as POSCAR:
```
K5Hg2Se4
1.0
8.4572 -2.3751 0.0000
8.4572 2.3751 0.0000
-5.4881 0.0000 10.0355
K Hg Se
5 2 4
Direct
0.0000 0.0000 0.0000
0.1806 0.1806 0.3471
0.3234 0.3234 0.1638
0.6766 0.6766 0.8362
0.8194 0.8194 0.6529
0.4398 0.4398 0.5655
0.5602 0.5602 0.4345
0.1856 0.1856 0.6497
0.3394 0.3394 0.8772
0.6606 0.6606 0.1228
0.8144 0.8144 0.3503
```


The following is a DFT calculation (PBE) of an optimized crystal structure of Ho4B3AsRh12.

Its formation energy is -14.41 eV/f.u. Its symmetry is Im-3m.

Geometry as POSCAR:
```
Ho4B3AsRh12
1.0
-4.2900 4.2900 4.2900
4.2900 -4.2900 4.2900
4.2900 4.2900 -4.2900
Ho B As Rh
4 3 1 12
Direct
0.0000 0.0000 0.5000
0.0000 0.5000 0.0000
0.5000 0.0000 0.0000
0.5000 0.5000 0.5000
0.0000 0.5000 0.5000
0.5000 0.0000 0.5000
0.5000 0.5000 0.0000
0.0000 0.0000 0.0000
0.0000 0.2672 0.2672
0.0000 0.7328 0.7328
0.2500 0.5000 0.7500
0.2500 0.7500 0.5000
0.2672 0.0000 0.2672
0.2672 0.2672 0.0000
0.5000 0.2500 0.7500
0.5000 0.7500 0.2500
0.7328 0.0000 0.7328
0.7328 0.7328 0.0000
0.7500 0.2500 0.5000
0.7500 0.5000 0.2500
```


The following is a DFT calculation (PBE) of an optimized crystal structure of Er2Tm2Zr.

Its formation energy is 3.36 eV/f.u. Its symmetry is Fddd.

Geometry as POSCAR:
```
Er2Tm2Zr
1.0
0.0000 4.3202 10.2681
4.1155 0.0000 10.2681
4.1155 4.3202 0.0000
Er Tm Zr
4 4 2
Direct
0.0000 0.0000 0.0000
0.0000 0.0000 0.5000
0.0000 0.5000 0.0000
0.5000 0.0000 0.0000
0.1635 0.1635 0.5865
0.4135 0.4135 0.8365
0.5865 0.5865 0.1635
0.8365 0.8365 0.4135
0.1250 0.1250 0.1250
0.8750 0.8750 0.8750
```


The following is a DFT calculation (PBE) of an optimized crystal structure of Ti2In2Cl.

Its uncorrected formation energy is -0.256 eV per atom. Its symmetry is P4/mbm.

Geometry as POSCAR:
```
Ti2In2Cl
1.0
6.4184 0.0000 0.0000
0.0000 6.4184 0.0000
0.0000 0.0000 4.8355
Ti In Cl
4 4 2
Direct
0.1496 0.3504 0.0000
0.3504 0.8504 0.0000
0.6496 0.1496 0.0000
0.8504 0.6496 0.0000
0.1601 0.6601 0.5000
0.3399 0.1601 0.5000
0.6601 0.8399 0.5000
0.8399 0.3399 0.5000
0.0000 0.0000 0.0000
0.5000 0.5000 0.0000
```


The following is a DFT calculation (PBE) of an optimized crystal structure of Ho5Hg2Ir2.

Its formation energy is -6.17 eV/f.u. Its symmetry is Cmce.

Geometry as POSCAR:
```
Ho5Hg2Ir2
1.0
7.8717 -3.7376 0.0000
7.8717 3.7376 0.0000
0.0000 0.0000 7.6198
Ho Hg Ir
10 4 4
Direct
0.0000 0.0000 0.0000
0.0489 0.7083 0.6703
0.2083 0.5489 0.1703
0.2917 0.9511 0.6703
0.4511 0.7917 0.1703
0.5000 0.5000 0.5000
0.5489 0.2083 0.8297
0.7083 0.0489 0.3297
0.7917 0.4511 0.8297
0.9511 0.2917 0.3297
0.2138 0.2138 0.0000
0.2862 0.2862 0.5000
0.7138 0.7138 0.5000
0.7862 0.7862 0.0000
0.1312 0.8688 0.3662
0.3688 0.6312 0.8662
0.6312 0.3688 0.1338
0.8688 0.1312 0.6338
```


The following is a DFT calculation (PBE) of an optimized crystal structure of Nb6Au3C.

Its formation energy is 0.09 eV/f.u. Its symmetry is C2/m.

Geometry as POSCAR:
```
Nb6Au3C
1.0
4.8580 -2.9409 0.0000
4.8580 2.9409 0.0000
-2.1956 0.0000 6.3907
Nb Au C
6 3 1
Direct
0.1311 0.6480 0.6344
0.1744 0.1744 0.7992
0.3520 0.8689 0.3656
0.6480 0.1311 0.6344
0.8256 0.8256 0.2008
0.8689 0.3520 0.3656
0.3227 0.3227 0.2448
0.5000 0.5000 0.0000
0.6773 0.6773 0.7552
0.0000 0.0000 0.5000
```


The following is a DFT calculation (PBE) of an optimized crystal structure of Rb3LaTm2Se6.

Its uncorrected formation energy is -1.748 eV per atom. Its symmetry is C2/m.

Geometry as POSCAR:
```
Rb3LaTm2Se6
1.0
3.7108 -6.4280 0.0000
3.7108 6.4280 0.0000
-2.4794 0.0000 7.9956
Rb La Tm Se
3 1 2 6
Direct
0.0000 0.0000 0.0000
0.3359 0.6641 0.0000
0.6641 0.3359 0.0000
0.5000 0.5000 0.5000
0.1670 0.8330 0.5000
0.8330 0.1670 0.5000
0.0867 0.4345 0.3040
0.2173 0.2173 0.6952
0.4345 0.0867 0.3040
0.5655 0.9133 0.6960
0.7827 0.7827 0.3048
0.9133 0.5655 0.6960
```


The following is a DFT calculation (PBE) of an optimized crystal structure of HfCoS2Cl.

The relative energy among the computed polymorphs is 0.000 eV/atom. Its uncorrected formation energy is -0.207 eV per atom. Its symmetry is P4/mmm.

Geometry as POSCAR:
```
HfCoS2Cl
1.0
4.9489 0.0000 0.0000
0.0000 4.9489 0.0000
0.0000 0.0000 4.8792
Hf Co S Cl
1 1 2 1
Direct
0.0000 0.0000 0.0000
0.5000 0.5000 0.5000
0.0000 0.5000 0.0000
0.5000 0.0000 0.0000
0.0000 0.0000 0.5000
```


The following is a DFT calculation (PBE) of an optimized crystal structure of Tm4CS3.

Its uncorrected formation energy is -1.674 eV per atom. Its symmetry is Cmmm.

Geometry as POSCAR:
```
Tm4CS3
1.0
3.8280 -5.3588 0.0000
3.8280 5.3588 0.0000
0.0000 0.0000 3.7342
Tm C S
4 1 3
Direct
0.2179 0.2179 0.5000
0.2299 0.7701 0.0000
0.7701 0.2299 0.0000
0.7821 0.7821 0.5000
0.0000 0.0000 0.0000
0.0000 0.5000 0.5000
0.5000 0.0000 0.5000
0.5000 0.5000 0.0000
```


The following is a DFT calculation (PBE) of an optimized crystal structure of AcSnPb.

Its formation energy is -1.25 eV/f.u. The relative energy among the computed polymorphs is 0.011 eV/atom. Its symmetry is P6_3/mmc.

Geometry as POSCAR:
```
AcSnPb
1.0
5.8082 0.0000 0.0000
-2.9041 5.0300 0.0000
0.0000 0.0000 6.9144
Ac Sn Pb
2 2 2
Direct
0.3333 0.6667 0.2500
0.6667 0.3333 0.7500
0.3333 0.6667 0.7500
0.6667 0.3333 0.2500
0.0000 0.0000 0.0000
0.0000 0.0000 0.5000
```


The following is a DFT calculation (PBE) of an optimized crystal structure of VSi2Ni.

Its uncorrected formation energy is -0.276 eV per atom. Its symmetry is P4/mmm.

Geometry as POSCAR:
```
VSi2Ni
1.0
2.5972 0.0000 0.0000
0.0000 2.5972 0.0000
0.0000 0.0000 7.1481
V Si Ni
1 2 1
Direct
0.0000 0.0000 0.0000
0.5000 0.5000 0.2628
0.5000 0.5000 0.7372
0.0000 0.0000 0.5000
```


The following is a DFT calculation (PBE) of an optimized crystal structure of LiZr2TlO.

Its uncorrected formation energy is -1.120 eV per atom. Its symmetry is P4/mmm.

Geometry as POSCAR:
```
LiZr2TlO
1.0
4.4777 0.0000 0.0000
0.0000 4.4777 0.0000
0.0000 0.0000 4.2843
Li Zr Tl O
1 2 1 1
Direct
0.0000 0.0000 0.0000
0.0000 0.5000 0.5000
0.5000 0.0000 0.5000
0.5000 0.5000 0.0000
0.0000 0.0000 0.5000
```


The following is a DFT calculation (PBE) of an optimized crystal structure of Mg2TaZn2.

Its formation energy is 0.76 eV/f.u. Its symmetry is P4/mbm.

Geometry as POSCAR:
```
Mg2TaZn2
1.0
7.5980 0.0000 0.0000
0.0000 7.5980 0.0000
0.0000 0.0000 2.9952
Mg Ta Zn
4 2 4
Direct
0.1728 0.3272 0.0000
0.3272 0.8272 0.0000
0.6728 0.1728 0.0000
0.8272 0.6728 0.0000
0.0000 0.0000 0.5000
0.5000 0.5000 0.5000
0.1280 0.6280 0.5000
0.3720 0.1280 0.5000
0.6280 0.8720 0.5000
0.8720 0.3720 0.5000
```


The following is a DFT calculation (PBE) of an optimized crystal structure of Rb14Zr2O9.

Its uncorrected formation energy is -1.433 eV per atom. Its symmetry is P-3.

Geometry as POSCAR:
```
Rb14Zr2O9
1.0
10.4009 0.0000 0.0000
-5.2005 9.0075 0.0000
0.0000 0.0000 11.3579
Rb Zr O
14 2 9
Direct
0.0000 0.0000 0.2185
0.0000 0.0000 0.7815
0.1000 0.7041 0.8926
0.1057 0.6823 0.3634
0.2959 0.3959 0.8926
0.3177 0.4234 0.3634
0.3959 0.1000 0.1074
0.4234 0.1057 0.6366
0.5766 0.8943 0.3634
0.6041 0.9000 0.8926
0.6823 0.5766 0.6366
0.7041 0.6041 0.1074
0.8943 0.3177 0.6366
0.9000 0.2959 0.1074
0.3333 0.6667 0.1413
0.6667 0.3333 0.8587
0.0000 0.0000 0.0000
0.1523 0.4974 0.2132
0.3333 0.6667 0.9646
0.3451 0.8477 0.2132
0.4974 0.3451 0.7868
0.5026 0.6549 0.2132
0.6549 0.1523 0.7868
0.6667 0.3333 0.0354
0.8477 0.5026 0.7868
```